PBE Pr5HoTl6, relaxed; size of the total moment = 0.0 μB per cell; total energy = -47.3 eV per cell; space group = No. 10; energy of formation = -0.382 eV per atom
1.0
-2.089 4.736 1.998
0.579 -2.786 7.212
6.628 5.552 1.613
Pr Tl Ho
5 6 1
Direct
0.670 0.500 0.660
0.334 0.000 0.332
0.000 0.500 0.000
0.666 0.000 0.668
0.330 0.500 0.340
0.837 0.756 0.326
0.837 0.244 0.326
0.500 0.246 0.000
0.500 0.754 0.000
0.163 0.756 0.674
0.163 0.244 0.674
0.000 0.000 0.000

---

PBE Sc11Ag4Hg9, relaxed; size of the total moment = 0.0 μB per cell; total energy = -92.1 eV per cell; space group = No. 65; energy of formation = -0.349 eV per atom
1.0
-1.054 1.422 -3.008
10.943 -3.243 -5.370
-8.801 -8.962 -1.152
Sc Ag Hg
11 4 9
Direct
0.000 0.587 0.932
0.000 0.413 0.068
0.000 0.932 0.587
0.000 0.068 0.413
0.000 0.644 0.356
0.000 0.356 0.644
0.000 0.833 0.167
0.000 0.167 0.833
0.000 0.000 0.000
0.000 0.733 0.733
0.000 0.267 0.267
0.500 0.554 0.744
0.500 0.446 0.256
0.500 0.744 0.554
0.500 0.256 0.446
0.500 0.628 0.148
0.500 0.372 0.852
0.500 0.148 0.628
0.500 0.852 0.372
0.500 0.790 0.949
0.500 0.210 0.051
0.500 0.949 0.790
0.500 0.051 0.210
0.500 0.500 0.500

---

PBE CrCdMo2, relaxed; size of the total moment = 0.0 μB per cell; total energy = -30.4 eV per cell; space group = No. 166; energy of formation = 0.439 eV per atom
1.0
-8.318 -0.761 3.917
-7.882 -3.516 3.259
-6.831 -2.442 5.699
Cd Cr Mo
1 1 2
Direct
0.250 0.250 0.250
0.750 0.750 0.750
0.011 0.011 0.011
0.489 0.489 0.489

---

PBE TlCu3Br9, relaxed; size of the total moment = 0.0 μB per cell; total energy = -66.6 eV per cell; space group = No. 9
1.0
-5.196 1.313 -6.185
-9.826 -3.837 2.026
-6.492 9.445 2.045
Tl Cu Br
2 6 18
Direct
0.021 0.502 0.990
0.486 0.002 0.490
0.801 0.543 0.668
0.989 0.043 0.168
0.980 0.949 0.832
0.238 0.449 0.332
0.559 0.252 0.731
0.458 0.752 0.231
0.339 0.213 0.317
0.132 0.713 0.817
0.388 0.306 0.935
0.371 0.806 0.435
0.175 0.079 0.692
0.054 0.579 0.192
0.645 0.701 0.031
0.624 0.201 0.531
0.853 0.902 0.338
0.908 0.402 0.838
0.633 0.778 0.671
0.917 0.278 0.171
0.497 0.516 0.307
0.680 0.016 0.807
0.570 0.476 0.642
0.312 0.976 0.142
0.841 0.041 0.025
0.093 0.541 0.525

---

PBE CuRe2P, relaxed; size of the total moment = 0.0 μB per cell; total energy = -32.6 eV per cell; space group = No. 12; energy of formation = 0.459 eV per atom
1.0
4.940 0.001 0.002
-2.346 4.320 0.000
0.247 0.873 2.605
Cu P Re
1 1 2
Direct
0.000 0.500 0.500
0.500 0.500 0.000
0.000 0.000 0.000
0.500 0.000 0.500

---

PBE CoSb4Te, relaxed; size of the total moment = 2.1 μB per cell; total energy = -22.0 eV per cell; space group = No. 216
1.0
0.000 4.379 4.379
4.379 0.000 4.379
4.379 4.379 0.000
Co Sb Te
1 4 1
Direct
0.000 0.000 0.000
0.875 0.375 0.375
0.375 0.375 0.875
0.375 0.875 0.375
0.375 0.375 0.375
0.750 0.750 0.750

---

PBE PaBrO5F, relaxed; size of the total moment = 0.0 μB per cell; total energy = -98.9 eV per cell; space group = No. 15
1.0
6.635 0.566 0.137
-1.395 6.511 0.137
-1.923 -2.598 6.558
Pa Br O F
2 2 10 2
Direct
0.000 0.000 0.500
0.000 0.000 0.000
0.553 0.447 0.250
0.447 0.553 0.750
0.891 0.109 0.250
0.109 0.891 0.750
0.645 0.354 0.064
0.355 0.646 0.936
0.646 0.355 0.436
0.354 0.645 0.564
0.750 0.746 0.373
0.250 0.254 0.627
0.254 0.250 0.127
0.746 0.750 0.873
0.147 0.853 0.250
0.853 0.147 0.750

---

PBE ZrInNi, relaxed; size of the total moment = 0.0 μB per cell; total energy = -104.4 eV per cell; space group = No. 180; energy of formation = -0.112 eV per atom
1.0
-0.295 1.441 -5.804
-3.451 -4.382 2.176
-8.052 7.465 2.262
Zr Ni In
6 6 6
Direct
0.500 0.000 0.667
0.000 0.000 0.500
0.000 0.000 0.833
0.000 0.000 0.167
0.500 0.500 0.000
0.000 0.500 0.333
0.387 0.775 0.167
0.775 0.387 0.833
0.613 0.387 0.500
0.613 0.225 0.167
0.387 0.613 0.500
0.225 0.613 0.833
0.500 0.500 0.293
0.000 0.500 0.627
0.500 0.500 0.707
0.000 0.500 0.040
0.500 0.000 0.960
0.500 0.000 0.373

---

PBE HPtF2, relaxed; energy above the most stable polymorph in this dataset = 3.600 eV per formula unit; size of the total moment = 1.2 μB per cell; total energy = -12.2 eV per cell; space group = No. 225
1.0
0.000 2.757 2.757
2.757 0.000 2.757
2.757 2.757 0.000
H Pt F
1 1 2
Direct
0.000 0.000 0.000
0.500 0.500 0.500
0.250 0.250 0.250
0.750 0.750 0.750

---

Copy entry 8 word for word.
PBE ZrInNi, relaxed; size of the total moment = 0.0 μB per cell; total energy = -104.4 eV per cell; space group = No. 180; energy of formation = -0.112 eV per atom
1.0
-0.295 1.441 -5.804
-3.451 -4.382 2.176
-8.052 7.465 2.262
Zr Ni In
6 6 6
Direct
0.500 0.000 0.667
0.000 0.000 0.500
0.000 0.000 0.833
0.000 0.000 0.167
0.500 0.500 0.000
0.000 0.500 0.333
0.387 0.775 0.167
0.775 0.387 0.833
0.613 0.387 0.500
0.613 0.225 0.167
0.387 0.613 0.500
0.225 0.613 0.833
0.500 0.500 0.293
0.000 0.500 0.627
0.500 0.500 0.707
0.000 0.500 0.040
0.500 0.000 0.960
0.500 0.000 0.373